No. 1
Here is a relaxed structure of MgTlP2Cl from Alexandria via LeMat-Bulk. Energies are from PBE-GGA.

Unit cell a=5.0976 b=5.0976 c=5.4254 alpha=90.00 beta=90.00 gamma=90.00
Positions (direct):
Mg1 0.0000 0.0000 0.0000
Tl1 0.5000 0.5000 0.5000
P1 0.0000 0.5000 0.5000
P2 0.5000 0.0000 0.5000
Cl1 0.5000 0.5000 0.0000

* magnetization: 0.41 μB/f.u.
* D(E_F): 0.92 states/eV per atom
* total DFT energy (no corrections): -13.217 eV for the cell shown
* formation energy (no corrections): 682 meV per atom
* symmetry: P4/mmm (123)

***

No. 2
Here is a relaxed structure of MgVP2Cl from Alexandria via LeMat-Bulk. Energies are from PBE-GGA.

Unit cell a=4.5464 b=4.5464 c=4.8991 alpha=90.00 beta=90.00 gamma=90.00
Positions (direct):
Mg1 0.0000 0.0000 0.0000
V1 0.5000 0.5000 0.5000
P1 0.0000 0.5000 0.5000
P2 0.5000 0.0000 0.5000
Cl1 0.5000 0.5000 0.0000

* magnetization: 0.00 μB/f.u.
* D(E_F): 0.58 states/eV per atom
* total DFT energy (no corrections): -23.841 eV for the cell shown
* formation energy (no corrections): -92 meV per atom
* symmetry: P4/mmm (123)